No. 1
ZnSeBr2O after structural relaxation, computed with PBE.

a = 5.092 Å, b = 5.092 Å, c = 5.187 Å
α = 90.00°, β = 90.00°, γ = 90.00°
Site moments in Bohr magnetons follow the coordinates.
Element x y z (fractional)
Br1 0.000 0.500 0.000  0.17
Br2 0.500 0.000 0.000  0.17
O1 0.500 0.500 0.500  -0.33
Zn1 0.000 0.000 0.000  0.00
Se1 0.000 0.000 0.500  0.94

**Energy above the lowest structure with this stoichiometry**: 0.220 eV per atom
**Formation energy without anion corrections**: 0.698 eV/atom
**Spin magnetization**: 0.293 μB per atom


No. 2
Sm2Cd5 after structural relaxation, computed with PBE.

a = 6.815 Å, b = 7.368 Å, c = 8.663 Å
α = 115.17°, β = 113.16°, γ = 90.00°
Element x y z (fractional)
Sm1 0.104 0.912 0.209
Sm2 0.396 0.703 0.791
Sm3 0.604 0.297 0.209
Sm4 0.896 0.088 0.791
Cd1 0.624 0.884 0.249
Cd2 0.876 0.636 0.751
Cd3 0.018 0.268 0.535
Cd4 0.518 0.268 0.535
Cd5 0.482 0.732 0.465
Cd6 0.124 0.364 0.249
Cd7 0.250 0.500 0.000
Cd8 0.982 0.732 0.465
Cd9 0.750 0.500 0.000
Cd10 0.376 0.116 0.751

**Formation enthalpy at 0 K**: -0.27 eV/atom
**Spin magnetization**: 0.000 μB per atom


No. 3
LiTi2W after structural relaxation, computed with PBE.

a = 6.863 Å, b = 6.863 Å, c = 5.556 Å
α = 51.85°, β = 51.85°, γ = 90.00°
Element x y z (fractional)
W1 0.000 0.000 0.000
W2 0.750 0.250 0.500
Li1 0.250 0.750 0.500
Li2 0.500 0.500 0.000
Ti1 0.375 0.390 0.750
Ti2 0.875 0.860 0.750
Ti3 0.610 0.125 0.250
Ti4 0.140 0.625 0.250

**Energy above the lowest structure with this stoichiometry**: 0.448 eV per atom
**Formation enthalpy at 0 K**: 0.61 eV/atom
**Spin magnetization**: 0.000 μB per atom


No. 4
TbSmSeO2 after structural relaxation, computed with PBE.

a = 4.064 Å, b = 6.579 Å, c = 7.721 Å
α = 107.34°, β = 90.00°, γ = 90.00°
Element x y z (fractional)
Tb1 0.250 0.676 0.417
Tb2 0.750 0.324 0.583
Se1 0.750 0.952 0.243
Se2 0.250 0.048 0.757
Sm1 0.750 0.314 0.074
Sm2 0.250 0.686 0.926
O1 0.750 0.511 0.383
O2 0.250 0.489 0.617
O3 0.750 0.519 0.875
O4 0.250 0.481 0.125

**Formation energy without anion corrections**: -3.075 eV/atom
**Spin magnetization**: 0.000 μB per atom


No. 5
Cd2InBiO after structural relaxation, computed with PBE.

a = 4.743 Å, b = 5.106 Å, c = 4.743 Å
α = 90.00°, β = 90.00°, γ = 90.00°
Element x y z (fractional)
Cd1 0.500 0.000 0.000
Cd2 0.000 0.000 0.500
Bi1 0.000 0.500 0.000
O1 0.000 0.000 0.000
In1 0.500 0.500 0.500

**Formation energy without anion corrections**: -0.151 eV/atom
**Spin magnetization**: 0.000 μB per atom


No. 6
LaMg3Ga2 after structural relaxation, computed with PBE.

a = 4.514 Å, b = 8.623 Å, c = 8.296 Å
α = 115.92°, β = 90.00°, γ = 105.17°
Element x y z (fractional)
Mg1 0.605 0.210 0.709
Mg2 0.044 0.088 0.372
Mg3 0.395 0.790 0.291
Mg4 0.956 0.912 0.628
Mg5 0.314 0.629 0.546
Mg6 0.686 0.371 0.454
Ga1 0.796 0.592 0.278
Ga2 0.483 0.965 0.839
Ga3 0.204 0.408 0.722
Ga4 0.517 0.035 0.161
La1 0.144 0.289 0.067
La2 0.856 0.711 0.933

**Energy above the lowest structure with this stoichiometry**: 0.000 eV per atom
**Formation enthalpy at 0 K**: -0.36 eV/atom
**Spin magnetization**: 0.000 μB per atom


No. 7
YCu2Ni after structural relaxation, computed with PBE.

a = 4.252 Å, b = 3.503 Å, c = 4.733 Å
α = 87.73°, β = 90.00°, γ = 90.00°
Element x y z (fractional)
Cu1 0.000 0.268 0.498
Cu2 0.000 0.232 0.002
Ni1 0.500 0.250 0.250
Y1 0.500 0.750 0.750

**Energy above the lowest structure with this stoichiometry**: 0.211 eV per atom
**Formation enthalpy at 0 K**: -0.05 eV/atom
**Spin magnetization**: 0.000 μB per atom


No. 8
Cs2NaPtN after structural relaxation, computed with PBE.

a = 6.942 Å, b = 6.942 Å, c = 3.766 Å
α = 90.00°, β = 90.00°, γ = 90.00°
Element x y z (fractional)
Na1 0.500 0.500 0.500
Pt1 0.000 0.000 0.500
Cs1 0.500 0.000 0.000
Cs2 0.000 0.500 0.000
N1 0.000 0.000 0.000

**Formation energy without anion corrections**: -0.015 eV/atom
**Spin magnetization**: 0.000 μB per atom


No. 9
AcAl12 after structural relaxation, computed with PBE.

a = 5.482 Å, b = 7.179 Å, c = 7.179 Å
α = 81.62°, β = 67.56°, γ = 67.56°
Element x y z (fractional)
Al1 0.000 0.500 0.000
Al2 0.500 0.000 0.500
Al3 0.000 0.000 0.500
Al4 0.642 0.358 0.358
Al5 0.358 0.642 0.642
Al6 0.275 0.225 0.225
Al7 0.500 0.775 0.225
Al8 0.500 0.500 0.000
Al9 0.500 0.225 0.775
Al10 0.000 0.358 0.642
Al11 0.000 0.642 0.358
Al12 0.725 0.775 0.775
Ac1 0.000 0.000 0.000

**Formation enthalpy at 0 K**: -0.11 eV/atom
**Spin magnetization**: 0.000 μB per atom


No. 10
Mg2In5Pd12 after structural relaxation, computed with PBE.

a = 5.639 Å, b = 8.245 Å, c = 9.000 Å
α = 109.13°, β = 90.00°, γ = 110.00°
Element x y z (fractional)
Pd1 0.591 0.682 0.402
Pd2 0.944 0.368 0.108
Pd3 0.900 0.799 0.706
Pd4 0.409 0.318 0.598
Pd5 0.425 0.368 0.108
Pd6 0.100 0.201 0.294
Pd7 0.056 0.632 0.892
Pd8 0.575 0.632 0.892
Pd9 0.510 0.021 0.356
Pd10 0.909 0.318 0.598
Pd11 0.091 0.682 0.402
Pd12 0.490 0.979 0.644
In1 0.318 0.636 0.644
In2 0.344 0.688 0.147
In3 0.000 0.000 0.500
In4 0.682 0.364 0.356
In5 0.656 0.312 0.853
Mg1 0.756 0.000 0.000
Mg2 0.244 0.000 0.000

**Formation enthalpy at 0 K**: -0.28 eV/atom
**Spin magnetization**: 0.000 μB per atom


No. 11
RbCa2TlO4 after structural relaxation, computed with PBE.

a = 7.149 Å, b = 7.149 Å, c = 7.188 Å
α = 120.16°, β = 120.16°, γ = 88.71°
Element x y z (fractional)
O1 0.248 0.821 0.034
O2 0.752 0.179 0.966
O3 0.679 0.252 0.466
O4 0.268 0.232 0.965
O5 0.321 0.748 0.534
O6 0.268 0.232 0.535
O7 0.732 0.768 0.465
O8 0.732 0.768 0.035
Ca1 0.000 0.000 0.500
Ca2 0.500 0.000 0.500
Ca3 0.500 0.000 0.000
Ca4 0.500 0.500 0.000
Rb1 0.000 0.500 0.000
Rb2 0.000 0.500 0.500
Tl1 0.500 0.500 0.500
Tl2 0.000 0.000 0.000

**Formation energy without anion corrections**: -1.811 eV/atom
**Spin magnetization**: 0.000 μB per atom


No. 12
BMoH2Au after structural relaxation, computed with PBE.

a = 3.487 Å, b = 4.277 Å, c = 3.487 Å
α = 90.00°, β = 90.00°, γ = 90.00°
Element x y z (fractional)
Mo1 0.000 0.000 0.000
H1 0.500 0.000 0.000
H2 0.000 0.000 0.500
Au1 0.500 0.500 0.500
B1 0.000 0.500 0.000

**Raw total energy**: -4.828 eV per atom
**Spin magnetization**: 0.000 μB per atom